Entry from the Alexandria database: Al8P8H34N7O36F5 after structural relaxation (PBE-GGA). Values from VASP.

Output
Raw total energy in eV/atom: -6.18
ρ in g/cm³: 2.3

Structure (Quantum ESPRESSO input):
```
&SYSTEM
  ibrav = 0, nat = 98, ntyp = 6
/
ATOMIC_SPECIES
Al 26.98 Al.upf
P 30.97 P.upf
H 1.01 H.upf
N 14.01 N.upf
O 16.00 O.upf
F 19.00 F.upf
ATOMIC_POSITIONS crystal
Al 0.000 0.000 0.000
Al 0.044 0.799 0.541
Al 0.236 0.735 0.040
Al 0.290 0.522 0.501
Al 0.497 0.027 0.726
Al 0.545 0.238 0.188
Al 0.735 0.292 0.686
Al 0.783 0.501 0.227
P 0.311 0.750 0.723
P 0.318 0.055 0.008
P 0.466 0.556 0.221
P 0.470 0.245 0.500
P 0.811 0.280 0.004
P 0.816 0.978 0.720
P 0.967 0.480 0.506
P 0.976 0.778 0.222
H 0.033 0.569 0.903
H 0.043 0.242 0.656
H 0.064 0.281 0.140
H 0.100 0.826 0.855
H 0.130 0.095 0.610
H 0.133 0.370 0.274
H 0.147 0.160 0.769
H 0.153 0.432 0.116
H 0.219 0.246 0.637
H 0.240 0.288 0.164
H 0.293 0.834 0.378
H 0.343 0.917 0.232
H 0.372 0.985 0.393
H 0.385 0.379 0.822
H 0.389 0.547 0.873
H 0.454 0.422 0.974
H 0.536 0.462 0.824
H 0.545 0.785 0.066
H 0.561 0.752 0.581
H 0.595 0.205 0.869
H 0.630 0.933 0.111
H 0.633 0.669 0.447
H 0.649 0.869 0.954
H 0.650 0.602 0.603
H 0.685 0.324 0.371
H 0.721 0.784 0.088
H 0.737 0.749 0.562
H 0.747 0.066 0.323
H 0.831 0.109 0.471
H 0.882 0.650 0.907
H 0.886 0.484 0.852
H 0.896 0.984 0.370
H 0.898 0.150 0.317
H 0.951 0.612 0.754
N 0.135 0.186 0.670
N 0.147 0.342 0.175
N 0.441 0.452 0.874
N 0.637 0.843 0.053
N 0.645 0.693 0.547
N 0.844 0.078 0.372
N 0.938 0.580 0.853
O 0.089 0.831 0.953
O 0.122 0.438 0.475
O 0.127 0.731 0.196
O 0.156 0.795 0.700
O 0.164 0.099 0.978
O 0.318 0.918 0.093
O 0.337 0.728 0.874
O 0.339 0.608 0.653
O 0.363 0.900 0.338
O 0.367 0.354 0.560
O 0.386 0.170 0.092
O 0.391 0.547 0.356
O 0.392 0.032 0.875
O 0.400 0.667 0.130
O 0.417 0.856 0.667
O 0.439 0.102 0.568
O 0.442 0.228 0.350
O 0.463 0.415 0.147
O 0.582 0.200 0.771
O 0.621 0.600 0.250
O 0.625 0.289 0.525
O 0.656 0.237 0.027
O 0.662 0.932 0.748
O 0.697 0.330 0.273
O 0.819 0.118 0.645
O 0.835 0.303 0.853
O 0.842 0.421 0.074
O 0.866 0.672 0.167
O 0.883 0.867 0.630
O 0.891 0.989 0.855
O 0.892 0.492 0.371
O 0.901 0.368 0.595
O 0.917 0.172 0.059
O 0.945 0.921 0.154
O 0.951 0.801 0.373
O 0.969 0.621 0.581
F 0.114 0.969 0.504
F 0.175 0.557 0.001
F 0.201 0.710 0.458
F 0.608 0.061 0.221
F 0.674 0.470 0.718
CELL_PARAMETERS angstrom
9.542 0.000 0.000
-0.062 9.624 0.000
-0.034 -0.006 10.016
```



Entry from the Alexandria database: AlH18RuN6F6 after structural relaxation (PBE-GGA). Values from VASP.

Output
Raw total energy in eV/atom: -5.27
ρ in g/cm³: 2.2

Structure (Quantum ESPRESSO input):
```
&SYSTEM
  ibrav = 0, nat = 128, ntyp = 5
/
ATOMIC_SPECIES
Al 26.98 Al.upf
H 1.01 H.upf
Ru 101.07 Ru.upf
N 14.01 N.upf
F 19.00 F.upf
ATOMIC_POSITIONS crystal
Al 0.000 0.000 0.000
Al 0.000 0.500 0.500
Al 0.500 0.000 0.500
Al 0.500 0.500 0.000
H 0.042 0.229 0.630
H 0.042 0.271 0.130
H 0.055 0.108 0.741
H 0.055 0.392 0.241
H 0.108 0.741 0.055
H 0.108 0.759 0.555
H 0.130 0.042 0.271
H 0.130 0.458 0.771
H 0.133 0.638 0.180
H 0.133 0.862 0.680
H 0.138 0.180 0.367
H 0.138 0.320 0.867
H 0.180 0.133 0.638
H 0.180 0.367 0.138
H 0.229 0.630 0.042
H 0.229 0.870 0.542
H 0.241 0.055 0.392
H 0.241 0.445 0.892
H 0.259 0.555 0.392
H 0.259 0.945 0.892
H 0.271 0.130 0.042
H 0.271 0.370 0.542
H 0.320 0.633 0.638
H 0.320 0.867 0.138
H 0.362 0.680 0.367
H 0.362 0.820 0.867
H 0.367 0.138 0.180
H 0.367 0.362 0.680
H 0.370 0.542 0.271
H 0.370 0.958 0.771
H 0.392 0.241 0.055
H 0.392 0.259 0.555
H 0.445 0.608 0.741
H 0.445 0.892 0.241
H 0.458 0.729 0.630
H 0.458 0.771 0.130
H 0.542 0.229 0.870
H 0.542 0.271 0.370
H 0.555 0.108 0.759
H 0.555 0.392 0.259
H 0.608 0.741 0.445
H 0.608 0.759 0.945
H 0.630 0.042 0.229
H 0.630 0.458 0.729
H 0.633 0.638 0.320
H 0.633 0.862 0.820
H 0.638 0.180 0.133
H 0.638 0.320 0.633
H 0.680 0.133 0.862
H 0.680 0.367 0.362
H 0.729 0.630 0.458
H 0.729 0.870 0.958
H 0.741 0.055 0.108
H 0.741 0.445 0.608
H 0.759 0.555 0.108
H 0.759 0.945 0.608
H 0.771 0.130 0.458
H 0.771 0.370 0.958
H 0.820 0.633 0.862
H 0.820 0.867 0.362
H 0.862 0.680 0.133
H 0.862 0.820 0.633
H 0.867 0.138 0.320
H 0.867 0.362 0.820
H 0.870 0.542 0.229
H 0.870 0.958 0.729
H 0.892 0.241 0.445
H 0.892 0.259 0.945
H 0.945 0.608 0.759
H 0.945 0.892 0.259
H 0.958 0.729 0.870
H 0.958 0.771 0.370
Ru 0.000 0.000 0.500
Ru 0.000 0.500 0.000
Ru 0.500 0.000 0.000
Ru 0.500 0.500 0.500
N 0.077 0.133 0.644
N 0.077 0.367 0.144
N 0.133 0.644 0.077
N 0.133 0.856 0.577
N 0.144 0.077 0.367
N 0.144 0.423 0.867
N 0.356 0.577 0.367
N 0.356 0.923 0.867
N 0.367 0.144 0.077
N 0.367 0.356 0.577
N 0.423 0.633 0.644
N 0.423 0.867 0.144
N 0.577 0.133 0.856
N 0.577 0.367 0.356
N 0.633 0.644 0.423
N 0.633 0.856 0.923
N 0.644 0.077 0.133
N 0.644 0.423 0.633
N 0.856 0.577 0.133
N 0.856 0.923 0.633
N 0.867 0.144 0.423
N 0.867 0.356 0.923
N 0.923 0.633 0.856
N 0.923 0.867 0.356
F 0.061 0.614 0.370
F 0.061 0.886 0.870
F 0.114 0.130 0.939
F 0.114 0.370 0.439
F 0.130 0.561 0.614
F 0.130 0.939 0.114
F 0.370 0.061 0.614
F 0.370 0.439 0.114
F 0.386 0.630 0.939
F 0.386 0.870 0.439
F 0.439 0.114 0.370
F 0.439 0.386 0.870
F 0.561 0.614 0.130
F 0.561 0.886 0.630
F 0.614 0.130 0.561
F 0.614 0.370 0.061
F 0.630 0.561 0.886
F 0.630 0.939 0.386
F 0.870 0.061 0.886
F 0.870 0.439 0.386
F 0.886 0.630 0.561
F 0.886 0.870 0.061
F 0.939 0.114 0.130
F 0.939 0.386 0.630
CELL_PARAMETERS angstrom
10.055 0.000 0.000
0.000 10.055 0.000
0.000 0.000 10.055
```



Entry from the Alexandria database: AlH15O6F6 after structural relaxation (PBE-GGA). Values from VASP.

Output
Raw total energy in eV/atom: -4.97
ρ in g/cm³: 1.7

Structure (Quantum ESPRESSO input):
```
&SYSTEM
  ibrav = 0, nat = 56, ntyp = 4
/
ATOMIC_SPECIES
Al 26.98 Al.upf
H 1.01 H.upf
O 16.00 O.upf
F 19.00 F.upf
ATOMIC_POSITIONS crystal
Al 0.000 0.000 0.000
Al 0.500 0.500 0.500
H 0.049 0.707 0.816
H 0.064 0.418 0.253
H 0.130 0.135 0.635
H 0.132 0.631 0.134
H 0.133 0.636 0.629
H 0.188 0.950 0.296
H 0.200 0.553 0.314
H 0.249 0.073 0.431
H 0.300 0.186 0.947
H 0.311 0.206 0.552
H 0.367 0.871 0.864
H 0.368 0.365 0.869
H 0.368 0.867 0.368
H 0.437 0.247 0.082
H 0.451 0.683 0.793
H 0.549 0.317 0.207
H 0.563 0.753 0.918
H 0.632 0.133 0.632
H 0.632 0.635 0.131
H 0.633 0.129 0.136
H 0.689 0.794 0.448
H 0.700 0.814 0.053
H 0.751 0.927 0.569
H 0.800 0.447 0.686
H 0.812 0.050 0.704
H 0.867 0.364 0.371
H 0.868 0.369 0.866
H 0.870 0.865 0.365
H 0.936 0.582 0.747
H 0.951 0.293 0.184
O 0.025 0.674 0.715
O 0.167 0.525 0.217
O 0.212 0.173 0.527
O 0.286 0.975 0.330
O 0.333 0.283 0.975
O 0.475 0.785 0.825
O 0.525 0.215 0.175
O 0.667 0.717 0.025
O 0.714 0.025 0.670
O 0.788 0.827 0.473
O 0.833 0.475 0.783
O 0.975 0.326 0.285
F 0.031 0.929 0.221
F 0.071 0.775 0.969
F 0.225 0.025 0.924
F 0.275 0.576 0.475
F 0.429 0.531 0.724
F 0.470 0.278 0.571
F 0.530 0.722 0.429
F 0.571 0.469 0.276
F 0.725 0.424 0.525
F 0.775 0.975 0.076
F 0.929 0.225 0.031
F 0.969 0.071 0.779
CELL_PARAMETERS angstrom
8.199 0.000 0.000
2.124 7.919 0.000
2.117 1.433 7.798
```



Entry from the Alexandria database: AlHOF2 after structural relaxation (PBE-GGA). Values from VASP.

Output
Raw total energy in eV/atom: -4.87
ρ in g/cm³: 2.7

Structure (Quantum ESPRESSO input):
```
&SYSTEM
  ibrav = 0, nat = 5, ntyp = 4
/
ATOMIC_SPECIES
Al 26.98 Al.upf
H 1.01 H.upf
O 16.00 O.upf
F 19.00 F.upf
ATOMIC_POSITIONS crystal
Al 0.000 0.000 0.000
H 0.500 0.500 0.500
O 0.000 0.000 0.500
F 0.000 0.500 0.000
F 0.500 0.000 0.000
CELL_PARAMETERS angstrom
3.630 0.000 0.000
0.000 3.630 0.000
0.000 0.000 3.758
```



Entry from the Alexandria database: AlHO2F after structural relaxation (PBE-GGA). Values from VASP.

Output
Raw total energy in eV/atom: -4.85
ρ in g/cm³: 2.6

Structure (Quantum ESPRESSO input):
```
&SYSTEM
  ibrav = 0, nat = 5, ntyp = 4
/
ATOMIC_SPECIES
Al 26.98 Al.upf
H 1.01 H.upf
O 16.00 O.upf
F 19.00 F.upf
ATOMIC_POSITIONS crystal
Al 0.000 0.000 0.000
H 0.500 0.500 0.500
O 0.000 0.500 0.000
O 0.500 0.000 0.000
F 0.000 0.000 0.500
CELL_PARAMETERS angstrom
3.707 0.000 0.000
0.000 3.707 0.000
0.000 0.000 3.646
```



Entry from the Alexandria database: AlH12O5F5 after structural relaxation (PBE-GGA). Values from VASP.

Output
Raw total energy in eV/atom: -5.02
ρ in g/cm³: 1.8

Structure (Quantum ESPRESSO input):
```
&SYSTEM
  ibrav = 0, nat = 46, ntyp = 4
/
ATOMIC_SPECIES
Al 26.98 Al.upf
H 1.01 H.upf
O 16.00 O.upf
F 19.00 F.upf
ATOMIC_POSITIONS crystal
Al 0.000 0.020 0.000
Al 0.000 0.980 0.500
H 0.158 0.201 0.724
H 0.158 0.799 0.224
H 0.161 0.225 0.843
H 0.161 0.775 0.343
H 0.337 0.233 0.147
H 0.337 0.767 0.647
H 0.393 0.173 0.481
H 0.393 0.827 0.981
H 0.476 0.478 0.104
H 0.476 0.522 0.604
H 0.494 0.487 0.239
H 0.494 0.513 0.739
H 0.517 0.467 0.887
H 0.517 0.533 0.387
H 0.606 0.179 0.521
H 0.606 0.821 0.021
H 0.656 0.235 0.848
H 0.656 0.765 0.348
H 0.839 0.222 0.158
H 0.839 0.778 0.658
H 0.843 0.201 0.277
H 0.843 0.799 0.777
H 0.998 0.500 0.250
H 0.998 0.500 0.750
O 0.144 0.365 0.778
O 0.144 0.635 0.278
O 0.460 0.338 0.165
O 0.460 0.662 0.665
O 0.498 0.331 0.503
O 0.498 0.669 0.003
O 0.535 0.338 0.827
O 0.535 0.662 0.327
O 0.854 0.364 0.222
O 0.854 0.636 0.722
F 0.001 0.478 0.501
F 0.001 0.522 0.001
F 0.159 0.030 0.127
F 0.159 0.970 0.627
F 0.186 0.022 0.946
F 0.186 0.978 0.446
F 0.816 0.019 0.055
F 0.816 0.981 0.555
F 0.844 0.027 0.874
F 0.844 0.973 0.374
CELL_PARAMETERS angstrom
7.904 0.000 0.000
0.000 3.733 0.000
-4.027 0.000 13.147
```



Entry from the Alexandria database: AlHOF2 after structural relaxation (PBE-GGA). Values from VASP.

Output
Raw total energy in eV/atom: -4.35
ρ in g/cm³: 3.6

Structure (Quantum ESPRESSO input):
```
&SYSTEM
  ibrav = 0, nat = 5, ntyp = 4
/
ATOMIC_SPECIES
Al 26.98 Al.upf
H 1.01 H.upf
O 16.00 O.upf
F 19.00 F.upf
ATOMIC_POSITIONS crystal
Al 0.000 0.000 0.000
H 0.500 0.500 0.500
O 0.500 0.500 0.000
F 0.000 0.500 0.500
F 0.500 0.000 0.500
CELL_PARAMETERS angstrom
2.991 0.000 0.000
0.000 2.991 0.000
0.000 0.000 4.189
```



Entry from the Alexandria database: AlHO2F after structural relaxation (PBE-GGA). Values from VASP.

Output
Raw total energy in eV/atom: -4.29
ρ in g/cm³: 3.6

Structure (Quantum ESPRESSO input):
```
&SYSTEM
  ibrav = 0, nat = 5, ntyp = 4
/
ATOMIC_SPECIES
Al 26.98 Al.upf
H 1.01 H.upf
O 16.00 O.upf
F 19.00 F.upf
ATOMIC_POSITIONS crystal
Al 0.000 0.000 0.000
H 0.500 0.500 0.500
O 0.000 0.500 0.500
O 0.500 0.000 0.500
F 0.500 0.500 0.000
CELL_PARAMETERS angstrom
3.256 0.000 0.000
0.000 3.256 0.000
0.000 0.000 3.398
```



Entry from the Alexandria database: AlH2Pb3OF9 after structural relaxation (PBE-GGA). Values from VASP.

Output
Raw total energy in eV/atom: -5.15
ρ in g/cm³: 6.4

Structure (Quantum ESPRESSO input):
```
&SYSTEM
  ibrav = 0, nat = 32, ntyp = 5
/
ATOMIC_SPECIES
Al 26.98 Al.upf
H 1.01 H.upf
Pb 207.20 Pb.upf
O 16.00 O.upf
F 19.00 F.upf
ATOMIC_POSITIONS crystal
Al 0.194 0.377 0.190
Al 0.806 0.623 0.810
H 0.173 0.752 0.983
H 0.404 0.667 0.928
H 0.596 0.333 0.072
H 0.827 0.248 0.017
Pb 0.250 0.939 0.380
Pb 0.269 0.512 0.615
Pb 0.318 0.125 0.867
Pb 0.682 0.875 0.133
Pb 0.731 0.488 0.385
Pb 0.750 0.061 0.620
O 0.341 0.789 0.981
O 0.659 0.211 0.019
F 0.004 0.250 0.498
F 0.031 0.637 0.190
F 0.059 0.773 0.769
F 0.118 0.273 0.051
F 0.275 0.489 0.332
F 0.349 0.142 0.675
F 0.366 0.122 0.208
F 0.465 0.508 0.157
F 0.497 0.761 0.512
F 0.503 0.239 0.488
F 0.535 0.492 0.843
F 0.634 0.878 0.792
F 0.651 0.858 0.325
F 0.725 0.511 0.668
F 0.882 0.727 0.949
F 0.941 0.227 0.231
F 0.969 0.363 0.810
F 0.996 0.750 0.502
CELL_PARAMETERS angstrom
5.746 0.000 0.000
-0.040 5.973 0.000
-0.866 -2.107 12.648
```